Cs2PuCdF6 | PBE | relaxed

Summary:
E_form (uncorrected) = -2710 kJ/mol of formula units
Raw total energy = -5.63 eV per atom
Space-group type = Pmmn (59)

Cell and atoms, written as POSCAR:
```
Cs2PuCdF6
1.0
6.947 0.000 0.000
0.000 7.648 0.000
0.000 0.000 10.043
Cd F Cs Pu
2 12 4 2
direct
0.500 0.201 0.500 Cd
0.000 0.799 0.000 Cd
0.767 0.871 0.500 F
0.733 0.129 0.000 F
0.285 0.523 0.000 F
0.000 0.672 0.284 F
0.500 0.328 0.216 F
0.233 0.871 0.500 F
0.267 0.129 0.000 F
0.785 0.477 0.500 F
0.500 0.328 0.784 F
0.000 0.672 0.716 F
0.215 0.477 0.500 F
0.715 0.523 0.000 F
0.000 0.269 0.764 Cs
0.000 0.269 0.236 Cs
0.500 0.731 0.736 Cs
0.500 0.731 0.264 Cs
0.500 0.318 0.000 Pu
0.000 0.682 0.500 Pu
```